# 1
TbCe2Th2 | PBE | relaxed

## Properties
DOS at the Fermi energy: 2.02 states/eV per atom
energy relative to the elements: 30 meV per atom
space-group type: R-3m
calculated total energy: -6.24 eV per atom
total magnetic moment: 0.0000 μB/atom

a = 3.503 Å, b = 3.503 Å, c = 42.577 Å
α = 90.00°, β = 90.00°, γ = 120.00°
Sites, in units of the cell vectors:
Tb1 0.000 0.000 0.000
Tb2 0.333 0.667 0.667
Tb3 0.667 0.333 0.333
Ce1 0.000 0.000 0.199
Ce2 0.000 0.000 0.801
Ce3 0.333 0.667 0.468
Ce4 0.333 0.667 0.865
Ce5 0.667 0.333 0.135
Ce6 0.667 0.333 0.532
Th1 0.000 0.000 0.402
Th2 0.000 0.000 0.598
Th3 0.333 0.667 0.069
Th4 0.333 0.667 0.264
Th5 0.667 0.333 0.736
Th6 0.667 0.333 0.931

# 2
Tb2CeTh | PBE | relaxed

## Properties
DOS at the Fermi energy: 1.91 states/eV per atom
energy relative to the elements: 172 meV per atom
space-group type: R-3m
calculated total energy: -5.48 eV per atom
total magnetic moment: 0.2173 μB/atom

a = 3.464 Å, b = 3.464 Å, c = 36.772 Å
α = 90.00°, β = 90.00°, γ = 120.00°
Sites, in units of the cell vectors:
Tb1 0.000 0.000 0.090
Tb2 0.000 0.000 0.910
Tb3 0.333 0.667 0.576
Tb4 0.333 0.667 0.757
Tb5 0.667 0.333 0.243
Tb6 0.667 0.333 0.424
Ce1 0.000 0.000 0.000
Ce2 0.333 0.667 0.667
Ce3 0.667 0.333 0.333
Th1 0.000 0.000 0.500
Th2 0.333 0.667 0.167
Th3 0.667 0.333 0.833

# 3
Tb3CeTh | PBE | relaxed

## Properties
DOS at the Fermi energy: 2.11 states/eV per atom
energy relative to the elements: 245 meV per atom
space-group type: C2/m
calculated total energy: -5.20 eV per atom
total magnetic moment: 0.1997 μB/atom

a = 6.736 Å, b = 6.736 Å, c = 9.209 Å
α = 99.37°, β = 99.37°, γ = 123.35°
Sites, in units of the cell vectors:
Tb1 0.048 0.769 0.800
Tb2 0.231 0.952 0.200
Tb3 0.294 0.294 0.622
Tb4 0.706 0.706 0.378
Tb5 0.769 0.048 0.800
Tb6 0.952 0.231 0.200
Ce1 0.386 0.614 0.000
Ce2 0.614 0.386 0.000
Th1 0.265 0.735 0.500
Th2 0.735 0.265 0.500

# 4
Tb6CeTh3 | PBE | relaxed

## Properties
DOS at the Fermi energy: 2.38 states/eV per atom
energy relative to the elements: 332 meV per atom
space-group type: R-3
calculated total energy: -5.27 eV per atom
total magnetic moment: 0.0613 μB/atom

a = 6.923 Å, b = 6.923 Å, c = 6.923 Å
α = 90.75°, β = 90.75°, γ = 90.75°
Sites, in units of the cell vectors:
Tb1 0.086 0.753 0.424
Tb2 0.247 0.576 0.914
Tb3 0.424 0.086 0.753
Tb4 0.576 0.914 0.247
Tb5 0.753 0.424 0.086
Tb6 0.914 0.247 0.576
Ce1 0.500 0.500 0.500
Th1 0.000 0.000 0.000
Th2 0.261 0.261 0.261
Th3 0.739 0.739 0.739

# 5
TbCeTh2 | PBE | relaxed

## Properties
DOS at the Fermi energy: 2.69 states/eV per atom
energy relative to the elements: 193 meV per atom
space-group type: Fm-3m
calculated total energy: -6.16 eV per atom
total magnetic moment: 0.0007 μB/atom

a = 7.933 Å, b = 7.933 Å, c = 7.933 Å
α = 90.00°, β = 90.00°, γ = 90.00°
Sites, in units of the cell vectors:
Tb1 0.000 0.000 0.000
Tb2 0.000 0.500 0.500
Tb3 0.500 0.000 0.500
Tb4 0.500 0.500 0.000
Ce1 0.000 0.000 0.500
Ce2 0.000 0.500 0.000
Ce3 0.500 0.000 0.000
Ce4 0.500 0.500 0.500
Th1 0.250 0.250 0.250
Th2 0.250 0.250 0.750
Th3 0.250 0.750 0.250
Th4 0.250 0.750 0.750
Th5 0.750 0.250 0.250
Th6 0.750 0.250 0.750
Th7 0.750 0.750 0.250
Th8 0.750 0.750 0.750

# 6
TbCe3Th2 | PBE | relaxed

## Properties
DOS at the Fermi energy: 2.48 states/eV per atom
energy relative to the elements: 102 meV per atom
space-group type: P-1
calculated total energy: -6.11 eV per atom
total magnetic moment: 0.0009 μB/atom

a = 6.555 Å, b = 6.663 Å, c = 9.439 Å
α = 95.99°, β = 94.41°, γ = 118.30°
Sites, in units of the cell vectors:
Tb1 0.071 0.334 0.250
Tb2 0.929 0.666 0.750
Ce1 0.097 0.873 0.422
Ce2 0.244 0.455 0.908
Ce3 0.421 0.199 0.756
Ce4 0.579 0.801 0.244
Ce5 0.756 0.545 0.092
Ce6 0.903 0.127 0.578
Th1 0.265 0.998 0.086
Th2 0.403 0.662 0.586
Th3 0.597 0.338 0.414
Th4 0.735 0.002 0.914

# 7
TbCe2Th | PBE | relaxed

## Properties
DOS at the Fermi energy: 2.22 states/eV per atom
energy relative to the elements: 58 meV per atom
space-group type: P4/mmm
calculated total energy: -5.92 eV per atom
total magnetic moment: 0.0002 μB/atom

a = 3.481 Å, b = 3.481 Å, c = 9.905 Å
α = 90.00°, β = 90.00°, γ = 90.00°
Sites, in units of the cell vectors:
Tb1 0.000 0.000 0.000
Ce1 0.500 0.500 0.258
Ce2 0.500 0.500 0.742
Th1 0.000 0.000 0.500

# 8
TbCe2Th6 | PBE | relaxed

## Properties
DOS at the Fermi energy: 1.89 states/eV per atom
energy relative to the elements: 105 meV per atom
space-group type: P-6m2
calculated total energy: -6.67 eV per atom
total magnetic moment: 0.0000 μB/atom

a = 3.506 Å, b = 3.506 Å, c = 26.840 Å
α = 90.00°, β = 90.00°, γ = 120.00°
Sites, in units of the cell vectors:
Tb1 0.000 0.000 0.000
Ce1 0.333 0.667 0.329
Ce2 0.333 0.667 0.671
Th1 0.000 0.000 0.221
Th2 0.000 0.000 0.438
Th3 0.000 0.000 0.562
Th4 0.000 0.000 0.779
Th5 0.333 0.667 0.110
Th6 0.333 0.667 0.890

# 9
Tb2CeTh2 | PBE | relaxed

## Properties
DOS at the Fermi energy: 2.77 states/eV per atom
energy relative to the elements: 437 meV per atom
space-group type: Fddd
calculated total energy: -5.57 eV per atom
total magnetic moment: 0.2714 μB/atom

a = 16.467 Å, b = 15.255 Å, c = 6.684 Å
α = 88.25°, β = 67.81°, γ = 23.94°
Sites, in units of the cell vectors:
Tb1 0.080 0.080 0.670
Tb2 0.330 0.330 0.920
Tb3 0.670 0.670 0.080
Tb4 0.920 0.920 0.330
Ce1 0.375 0.375 0.375
Ce2 0.625 0.625 0.625
Th1 0.000 0.500 0.500
Th2 0.500 0.000 0.500
Th3 0.500 0.500 0.000
Th4 0.500 0.500 0.500

# 10
Tb2Ce6Th | PBE | relaxed

## Properties
DOS at the Fermi energy: 2.87 states/eV per atom
energy relative to the elements: 97 meV per atom
space-group type: Cmmm
calculated total energy: -5.71 eV per atom
total magnetic moment: 0.0731 μB/atom

a = 9.231 Å, b = 9.231 Å, c = 3.377 Å
α = 90.00°, β = 90.00°, γ = 115.23°
Sites, in units of the cell vectors:
Tb1 0.162 0.838 0.000
Tb2 0.838 0.162 0.000
Ce1 0.153 0.490 0.500
Ce2 0.194 0.194 0.500
Ce3 0.490 0.153 0.500
Ce4 0.510 0.847 0.500
Ce5 0.806 0.806 0.500
Ce6 0.847 0.510 0.500
Th1 0.500 0.500 0.000